No. 1
This record from the Alexandria database describes MoN after structural relaxation. The functional is PBE.

Calculated values
density of states at the Fermi level = 0.659 states/eV per atom
DFT total energy = -9.73 eV/atom
formation energy (no corrections) = -147 meV/atom
spin magnetization = 0.00 μB/cell

Cell: 6.0364 6.3766 8.6228 Å, 90.00 90.00 90.00°
With the nearest neighbours (Å) after each atom.
Space group Fddd (No. 70, origin choice 2)
Asymmetric unit:
Mo: 0.0851 0.3750 0.3750 [16 per cell]  6 N 2.16-2.26
N: 0.1250 0.3501 0.6250 [16 per cell]  6 Mo 2.16-2.26

***

No. 2
This record from the Alexandria database describes ZrNi2Se after structural relaxation. The functional is PBE.

Calculated values
density of states at the Fermi level = 0.823 states/eV per atom
DFT total energy = -6.20 eV/atom
formation energy (no corrections) = -299 meV/atom
spin magnetization = 0.00 μB/cell

Cell: 3.2644 3.2644 5.7548 Å, 90.00 90.00 90.00°
With the nearest neighbours (Å) after each atom.
Space group P4mm (No. 99)
Asymmetric unit:
Zr: 0.0000 0.0000 0.0000 [1 per cell]  5 Ni 2.65-2.75, 4 Se 2.96
Ni: 0.0000 0.0000 0.4602 [1 per cell]  4 Ni 2.58, 4 Se 2.63, 1 Zr 2.65
Ni: 0.5000 0.5000 0.2590 [1 per cell]  1 Se 2.42, 4 Ni 2.58
Se: 0.5000 0.5000 0.6790 [1 per cell]  5 Ni 2.42-2.63

***

No. 3
This record from the Alexandria database describes Pa2Al4PdPt3 after structural relaxation. The functional is PBE.

Calculated values
density of states at the Fermi level = 0.799 states/eV per atom
DFT total energy = -6.63 eV/atom
formation energy from the elements = -0.91 eV/atom
spin magnetization = 0.00 μB/cell

Cell: 4.1864 4.1864 10.4845 Å, 90.00 90.00 90.00°
With the nearest neighbours (Å) after each atom.
Space group P-4m2 (No. 115)
Asymmetric unit:
Pa: 0.0000 0.5000 0.2488 [2 per cell]  6 Pt 3.18-3.36, 8 Al 3.22-3.34, 2 Pd 3.36
Al: 0.0000 0.0000 0.0000 [1 per cell]  4 Pt 2.54
Al: 0.0000 0.5000 0.6295 [2 per cell]  3 Pt 2.44-2.50, 2 Pd 2.50
Al: 0.5000 0.5000 0.0000 [1 per cell]  4 Pt 2.54
Pd: 0.0000 0.0000 0.5000 [1 per cell]  4 Al 2.50
Pt: 0.0000 0.5000 0.8623 [2 per cell]  5 Al 2.44-2.54
Pt: 0.5000 0.5000 0.5000 [1 per cell]  4 Al 2.50